No. 1
A relaxed structure of TcSb3As. Source: the Alexandria database, functional GGA-PBE.

POSCAR file:
```
TcSb3As
1.0
5.1116 0.0000 0.0000
0.0000 5.1116 0.0000
0.0000 0.0000 5.1116
Tc Sb As
1 3 1
Direct
0.0000 0.0000 0.0000
0.0000 0.0000 0.5000
0.0000 0.5000 0.0000
0.5000 0.0000 0.0000
0.5000 0.5000 0.5000
```

Theoretical density: 6692 kg/m3
Space-group type: No. 221
D(E_F): 2.83 states/eV/cell
Uncorrected formation energy: 527 meV per atom
M_tot: 0.00 μB/atom
E: -4.950 eV per atom

No. 2
A relaxed structure of TcSbAs4. Source: the Alexandria database, functional GGA-PBE.

POSCAR file:
```
TcSbAs4
1.0
0.0000 3.9347 3.9347
3.9347 0.0000 3.9347
3.9347 3.9347 0.0000
Tc Sb As
1 1 4
Direct
0.0000 0.0000 0.0000
0.2500 0.2500 0.2500
0.1214 0.6262 0.6262
0.6262 0.1214 0.6262
0.6262 0.6262 0.1214
0.6262 0.6262 0.6262
```

Theoretical density: 7080 kg/m3
Space-group type: No. 216
D(E_F): 3.90 states/eV/cell
Uncorrected formation energy: 788 meV per atom
M_tot: 0.44 μB/atom
E: -4.726 eV per atom